A) ## Sb2TeHPd (PBE)

Data for a geometry-optimized Sb2TeHPd structure.

Properties
- Total moment: 0.9 μB/cell

a = 5.2028 Å, b = 5.2028 Å, c = 5.5141 Å
α = 90.00°, β = 90.00°, γ = 90.00°
Space group P4/mmm (No. 123)
Inequivalent atoms, fractional coordinates:
Sb 0.0000 0.5000 0.0000 x2
Te 0.0000 0.0000 0.5000 x1
H 0.5000 0.5000 0.5000 x1
Pd 0.0000 0.0000 0.0000 x1

=====

B) ## Sb2TeHPd (PBE)

Data for a geometry-optimized Sb2TeHPd structure.

Properties
- Total moment: 0.0 μB/cell

a = 4.6954 Å, b = 4.6954 Å, c = 4.5497 Å
α = 90.00°, β = 90.00°, γ = 90.00°
Space group P4/mmm (No. 123)
Inequivalent atoms, fractional coordinates:
Sb 0.0000 0.5000 0.0000 x2
Te 0.0000 0.0000 0.5000 x1
H 0.0000 0.0000 0.0000 x1
Pd 0.5000 0.5000 0.5000 x1

=====

What is the stability order? It is B), A), from most stable to least stable.